# PBE-GGA LiNi2, optimized geometry
data_LiNi2
_cell_length_a 4.1064
_cell_length_b 4.1064
_cell_length_c 15.8125
_cell_angle_alpha 90.00
_cell_angle_beta 90.00
_cell_angle_gamma 90.00
_space_group_name_H-M_alt 'I 41/a m d'
_space_group_IT_number 141
loop_
_space_group_symop_operation_xyz
'x,y,z'
'-x,-y,-z'
'-y+1/4,x+3/4,z+1/4'
'y+1/4,-x+3/4,-z+1/4'
'-x+1/2,-y,z+1/2'
'x+1/2,y,-z+1/2'
'y+1/4,-x+1/4,z+3/4'
'-y+1/4,x+1/4,-z+3/4'
'x,-y,-z'
'-x,y,z'
'-y+1/4,-x+1/4,-z+3/4'
'y+1/4,x+1/4,z+3/4'
'-x+1/2,y,-z+1/2'
'x+1/2,-y,z+1/2'
'y+1/4,x+3/4,-z+1/4'
'-y+1/4,-x+3/4,z+1/4'
'x+1/2,y+1/2,z+1/2'
'-x+1/2,-y+1/2,-z+1/2'
'-y+3/4,x+1/4,z+3/4'
'y+3/4,-x+1/4,-z+3/4'
'-x,-y+1/2,z'
'x,y+1/2,-z'
'y+3/4,-x+3/4,z+1/4'
'-y+3/4,x+3/4,-z+1/4'
'x+1/2,-y+1/2,-z+1/2'
'-x+1/2,y+1/2,z+1/2'
'-y+3/4,-x+3/4,-z+1/4'
'y+3/4,x+3/4,z+1/4'
'-x,y+1/2,-z'
'x,-y+1/2,z'
'y+3/4,x+1/4,-z+3/4'
'-y+3/4,-x+1/4,z+3/4'
loop_
_atom_site_label
_atom_site_type_symbol
_atom_site_fract_x
_atom_site_fract_y
_atom_site_fract_z
Li1 Li 0.0000 0.2500 0.2905
Ni1 Ni 0.0000 0.2500 0.1195
Ni2 Ni 0.0000 0.2500 0.7947
# V in Å³ per atom: 11.11
# Total moment in Bohr magnetons per cell: 4.8
# Raw total energy in eV/atom: -4.472